1.
Ac5LaNd4 after structural relaxation. Source: the Alexandria database, functional PBE.

The structure belongs to space group C2/m (No. 12); the cell edges are 19.558, 5.502 and 7.629 Å and the angles 90.00°, 102.90° and 90.00°. Symmetry generates all atoms from Ac at (0.000, 0.000, 0.000), Ac at (0.101, 0.500, 0.802), Ac at (0.201, 0.000, 0.601), La at (0.000, 0.000, 0.500), Nd at (0.100, 0.500, 0.301) and Nd at (0.199, 0.000, 0.100).

As for the energy above the most stable polymorph in this dataset: 0 meV per atom. The calculated volume comes out at 40.0 Å³ per atom. Its crystal system is monoclinic. The calculation puts the formation energy at 0.02 eV per atom. The calculation puts the total magnetization at 0.00 μB/f.u.

2.
AcLaNd14 after structural relaxation. Source: the Alexandria database, functional PBE.

The structure belongs to space group Amm2 (No. 38); the cell edges are 12.053, 7.468 and 12.902 Å and the angles 90.00°, 90.00° and 90.00°. Symmetry generates all atoms from Ac at (0.000, 0.000, 0.000), La at (0.000, 0.000, 0.500), Nd at (0.000, 0.249, 0.251), Nd at (0.251, 0.000, 0.668), Nd at (0.253, 0.000, 0.169), Nd at (0.254, 0.249, 0.418), Nd at (0.500, 0.000, 0.001), Nd at (0.500, 0.000, 0.501) and Nd at (0.500, 0.250, 0.251).

The calculated volume comes out at 36.3 Å³ per atom. Its crystal system is orthorhombic. The calculation puts the formation energy at 0.04 eV per atom. The calculation puts the total magnetization at 0.00 μB/f.u.

3.
AcLa12Nd6 after structural relaxation. Source: the Alexandria database, functional PBE.

The structure belongs to space group R-3m (No. 166, hexagonal axes); the cell edges are 13.9949, 13.9949 and 12.5506 Å and the angles 90.00°, 90.00° and 120.00°. Symmetry generates all atoms from Ac at (0.0000, 0.0000, 0.0000), La at (0.0000, 0.2555, 0.5000), La at (0.0907, 0.1815, 0.2631) and Nd at (0.0414, 0.5207, 0.6187).

As for the energy above the most stable polymorph in this dataset: 0 meV per atom. The calculated volume comes out at 37.3 Å³ per atom. Its crystal system is trigonal. The calculation puts the formation energy at 0.16 eV per atom. The calculation puts the total magnetization at 0.00 μB/f.u.

4.
Ac3La2Nd3 after structural relaxation. Source: the Alexandria database, functional PBE.

The structure belongs to space group Pmmm (No. 47); the cell edges are 5.384, 5.410 and 10.717 Å and the angles 90.00°, 90.00° and 90.00°. Symmetry generates all atoms from Ac at (0.000, 0.000, 0.000), Ac at (0.000, 0.000, 0.500), Ac at (0.500, 0.500, 0.000), La at (0.000, 0.500, 0.255), Nd at (0.500, 0.000, 0.254) and Nd at (0.500, 0.500, 0.500).

As for the energy above the most stable polymorph in this dataset: 0 meV per atom. The calculated volume comes out at 39.0 Å³ per atom. Its crystal system is orthorhombic. The calculation puts the formation energy at 0.02 eV per atom. The calculation puts the total magnetization at 0.00 μB/f.u.

5.
Ac6La4Nd after structural relaxation. Source: the Alexandria database, functional PBE.

The structure belongs to space group P-6m2 (No. 187); the cell edges are 11.7315, 11.7315 and 3.8516 Å and the angles 90.00°, 90.00° and 120.00°. Symmetry generates all atoms from Ac at (0.1850, 0.3700, 0.0000), Ac at (0.5350, 0.0700, 0.5000), La at (0.3118, 0.1559, 0.0000), La at (0.3333, 0.6667, 0.5000) and Nd at (0.0000, 0.0000, 0.5000).

The calculated volume comes out at 41.7 Å³ per atom. Its crystal system is hexagonal. The calculation puts the formation energy at 0.12 eV per atom. The calculation puts the total magnetization at 0.00 μB/f.u.

6.
Ac4LaNd8 after structural relaxation. Source: the Alexandria database, functional PBE.

The structure belongs to space group R-3m (No. 166, hexagonal axes); the cell edges are 11.7862, 11.7862 and 13.9129 Å and the angles 90.00°, 90.00° and 120.00°. Symmetry generates all atoms from Ac at (0.0000, 0.0000, 0.0000), Ac at (0.0000, 0.5000, 0.0000), La at (0.0000, 0.0000, 0.5000), Nd at (0.0000, 0.0000, 0.2408) and Nd at (0.0088, 0.5044, 0.7395).

The calculated volume comes out at 42.9 Å³ per atom. Its crystal system is trigonal. The calculation puts the formation energy at 0.50 eV per atom. The calculation puts the total magnetization at 0.00 μB/f.u.

7.
Ac2LaNd after structural relaxation. Source: the Alexandria database, functional PBE.

The structure belongs to space group Pmma (No. 51); the cell edges are 10.773, 3.878 and 7.718 Å and the angles 90.00°, 90.00° and 90.00°. Symmetry generates all atoms from Ac at (0.001, 0.000, 0.249), La at (0.250, 0.500, 0.501) and Nd at (0.250, 0.500, 0.999).

As for the energy above the most stable polymorph in this dataset: 5 meV per atom. The calculated volume comes out at 40.3 Å³ per atom. Its crystal system is orthorhombic. The calculation puts the formation energy at 0.02 eV per atom. The calculation puts the total magnetization at 0.00 μB/f.u.

8.
Ac6LaNd8 after structural relaxation. Source: the Alexandria database, functional PBE.

The structure belongs to space group R-3 (No. 148, hexagonal axes); the cell edges are 9.6170, 9.6170 and 22.1575 Å and the angles 90.00°, 90.00° and 120.00°. Symmetry generates all atoms from Ac at (0.0490, 0.2498, 0.2098), La at (0.0000, 0.0000, 0.5000), Nd at (0.0000, 0.0000, 0.0749) and Nd at (0.0803, 0.5680, 0.3065).

The calculated volume comes out at 39.4 Å³ per atom. Its crystal system is trigonal. The calculation puts the formation energy at 0.11 eV per atom. The calculation puts the total magnetization at 0.00 μB/f.u.

9.
Ac2La3Nd6 after structural relaxation. Source: the Alexandria database, functional PBE.

The structure belongs to space group P-1 (No. 2); the cell edges are 6.536, 8.363 and 8.389 Å and the angles 107.39°, 97.09° and 104.90°. Symmetry generates all atoms from Ac at (0.227, 0.405, 0.047), La at (0.410, 0.132, 0.677), La at (0.500, 0.500, 0.500), Nd at (0.041, 0.682, 0.413), Nd at (0.138, 0.045, 0.230) and Nd at (0.318, 0.779, 0.860).

The calculated volume comes out at 37.5 Å³ per atom. Its crystal system is triclinic. The calculation puts the formation energy at 0.03 eV per atom. The calculation puts the total magnetization at 0.00 μB/f.u.

10.
Ac3La2Nd6 after structural relaxation. Source: the Alexandria database, functional PBE.

The structure belongs to space group C2/m (No. 12); the cell edges are 6.310, 11.930 and 11.585 Å and the angles 90.00°, 98.83° and 90.00°. Symmetry generates all atoms from Ac at (0.000, 0.000, 0.000), Ac at (0.000, 0.328, 0.000), La at (0.000, 0.361, 0.500), Nd at (0.067, 0.156, 0.713) and Nd at (0.088, 0.500, 0.757).

The calculated volume comes out at 39.2 Å³ per atom. Its crystal system is monoclinic. The calculation puts the formation energy at 0.16 eV per atom. The calculation puts the total magnetization at 0.00 μB/f.u.